An optimized crystal structure of CsAcPbSe3, computed with PBE-GGA.

Cell lengths 9.3706, 4.5146, 12.3912 Å; angles 90.00, 106.36, 90.00 degrees
Last column: nearest neighbours and their distance in Å.
Positions (direct):
Cs 0.2425 0.2500 0.2691  5 Se 3.67-3.82
Cs 0.7575 0.7500 0.7309  5 Se 3.67-3.82
Ac 0.3453 0.7500 0.8539  6 Se 3.08-3.17
Ac 0.6547 0.2500 0.1461  6 Se 3.08-3.17
Pb 0.1426 0.2500 0.5727  3 Se 2.77-2.88
Pb 0.8574 0.7500 0.4273  3 Se 2.77-2.88
Se 0.0998 0.2500 0.7854  1 Pb 2.77
Se 0.3397 0.7500 0.5971  2 Pb 2.88, 1 Ac 3.17
Se 0.4197 0.7500 0.1122  3 Ac 3.08-3.10
Se 0.5803 0.2500 0.8878  3 Ac 3.08-3.10
Se 0.6603 0.2500 0.4029  2 Pb 2.88, 1 Ac 3.17
Se 0.9002 0.7500 0.2146  1 Pb 2.77

Summary:
- SG: P2_1/m, No. 11
- Raw total energy: -4.522 eV/atom
- Uncorrected formation energy: -1.335 eV per atom

=====

An optimized crystal structure of MnRu2Pb, computed with PBE-GGA.

Cell lengths 4.9740, 4.9740, 4.9740 Å; angles 133.35, 133.35, 68.10 degrees
Last column: nearest neighbours and their distance in Å.
Positions (direct):
Mn 0.0000 0.0000 0.0000  8 Ru 2.79-2.85, 4 Pb 2.85
Ru 0.2500 0.7500 0.5000  4 Pb 2.79, 4 Ru 2.85, 4 Mn 2.85
Ru 0.5000 0.5000 0.0000  4 Mn 2.79, 4 Pb 2.85, 4 Ru 2.85
Pb 0.7500 0.2500 0.5000  8 Ru 2.79-2.85, 4 Mn 2.85

Summary:
- SG: I-4m2, No. 119
- Formation energy: 398 meV/atom
- Raw total energy: -7.460 eV/atom
- DOS(E_F): 2.33 states/eV/f.u.

=====

An optimized crystal structure of MnAl3, computed with PBE-GGA.

Cell lengths 4.7387, 4.7387, 4.6438 Å; angles 98.94, 98.94, 34.25 degrees
Last column: nearest neighbours and their distance in Å.
Positions (direct):
Mn 0.0000 0.0000 0.0000  10 Al 2.67-2.75, 2 Mn 2.79
Al 0.2599 0.2599 0.7635  9 Al 2.63-2.84, 3 Mn 2.67-2.75
Al 0.5000 0.5000 0.5000  8 Al 2.66-2.84, 4 Mn 2.71
Al 0.7401 0.7401 0.2365  9 Al 2.63-2.84, 3 Mn 2.67-2.75

Summary:
- SG: C2/m, No. 12
- Formation energy: -124 meV/atom
- Raw total energy: -5.223 eV/atom
- DOS(E_F): 1.92 states/eV/f.u.

=====

An optimized crystal structure of ZrHPd2, computed with PBE-GGA.

Cell lengths 5.3767, 5.3767, 5.3767 Å; angles 114.50, 114.50, 99.83 degrees
Last column: nearest neighbours and their distance in Å.
Positions (direct):
Zr 0.0000 0.0000 0.0000  8 Pd 2.82-3.05
Zr 0.7500 0.2500 0.5000  8 Pd 2.82-3.05
H 0.2500 0.7500 0.5000  4 Pd 1.81
H 0.5000 0.5000 0.0000  4 Pd 1.81
Pd 0.2630 0.6250 0.1380  2 H 1.81
Pd 0.3750 0.5130 0.6380  2 H 1.81
Pd 0.4870 0.1250 0.8620  2 H 1.81
Pd 0.8750 0.7370 0.3620  2 H 1.81

Summary:
- SG: I-42d, No. 122
- Relative energy among the computed polymorphs: 0 meV per atom
- Raw total energy: -5.812 eV/atom
- DOS(E_F): 2.81 states/eV/f.u.

=====

An optimized crystal structure of TbThGaTe, computed with PBE-GGA.

Cell lengths 7.6280, 7.6280, 7.6280 Å; angles 33.01, 33.01, 33.01 degrees
Last column: nearest neighbours and their distance in Å.
Positions (direct):
Tb 0.0000 0.0000 0.0000  3 Ga 2.97, 3 Te 3.15
Th 0.5169 0.5169 0.5169  3 Ga 2.99, 3 Te 3.24
Ga 0.2592 0.2592 0.2592  3 Tb 2.97, 3 Th 2.99
Te 0.7552 0.7552 0.7552  3 Tb 3.15, 3 Th 3.24

Summary:
- SG: R3m, No. 160
- Raw total energy: -5.405 eV/atom
- Uncorrected formation energy: -0.851 eV per atom
- DOS(E_F): 1.98 states/eV/f.u.

=====

An optimized crystal structure of Sc6P2HSe3, computed with PBE-GGA.

Cell lengths 8.4193, 8.4193, 7.5555 Å; angles 104.42, 104.42, 25.85 degrees
Last column: nearest neighbours and their distance in Å.
Positions (direct):
Sc 0.0033 0.0033 0.2399  1 P 2.55, 2 H 2.60, 3 Se 2.71-2.73
Sc 0.3275 0.3275 0.4316  3 P 2.59-2.60, 3 Se 2.74-2.77
Sc 0.3380 0.3380 0.9050  1 H 2.57, 2 P 2.57, 3 Se 2.72-2.75
Sc 0.6620 0.6620 0.0950  1 H 2.57, 2 P 2.57, 3 Se 2.72-2.75
Sc 0.6725 0.6725 0.5684  3 P 2.59-2.60, 3 Se 2.74-2.77
Sc 0.9967 0.9967 0.7601  1 P 2.55, 2 H 2.60, 3 Se 2.71-2.73
P 0.1641 0.1641 0.3283  6 Sc 2.55-2.60
P 0.8359 0.8359 0.6717  6 Sc 2.55-2.60
H 0.5000 0.5000 0.0000  6 Sc 2.57-2.60
Se 0.1669 0.1669 0.8335  6 Sc 2.71-2.77
Se 0.5000 0.5000 0.5000  6 Sc 2.73-2.74
Se 0.8331 0.8331 0.1665  6 Sc 2.71-2.77

Summary:
- SG: C2/m, No. 12
- Raw total energy: -6.579 eV/atom
- DOS(E_F): 6.45 states/eV/f.u.

=====

An optimized crystal structure of La2PrCoHg, computed with PBE-GGA.

Cell lengths 5.2179, 5.2179, 5.5323 Å; angles 90.00, 90.00, 90.00 degrees
Last column: nearest neighbours and their distance in Å.
Positions (direct):
La 0.0000 0.5000 0.0000  2 Co 2.61
La 0.5000 0.0000 0.0000  2 Co 2.61
Pr 0.0000 0.0000 0.5001  2 Co 2.77
Co 0.0000 0.0000 0.0000  4 La 2.61, 2 Pr 2.77
Hg 0.5000 0.5000 0.5014  4 Pr 3.69, 8 La 3.80-3.81

Summary:
- SG: P4mm, No. 99
- Formation energy: -180 meV/atom
- Raw total energy: -4.588 eV/atom
- DOS(E_F): 5.68 states/eV/f.u.

=====

An optimized crystal structure of TaTl2PbC, computed with PBE-GGA.

Cell lengths 5.2296, 5.2296, 4.2374 Å; angles 90.00, 90.00, 90.00 degrees
Last column: nearest neighbours and their distance in Å.
Positions (direct):
Ta 0.0000 0.0000 0.0000  2 C 2.12
Tl 0.0000 0.5000 0.5000  2 C 2.61
Tl 0.5000 0.0000 0.5000  2 C 2.61
Pb 0.5000 0.5000 0.0000  8 Tl 3.37, 4 Ta 3.70
C 0.0000 0.0000 0.5000  2 Ta 2.12

Summary:
- SG: P4/mmm, No. 123
- Formation energy: 923 meV/atom
- Relative energy among the computed polymorphs: 0 meV per atom
- Raw total energy: -4.980 eV/atom
- DOS(E_F): 3.45 states/eV/f.u.

=====

Number 1: total moment 0.000 μB/f.u.. Number 2: total moment 2.703 μB/f.u.. Number 3: total moment 1.993 μB/f.u.. Number 4: total moment 0.000 μB/f.u.. Number 5: total moment 0.000 μB/f.u.. Number 6: total moment 0.000 μB/f.u.. Number 7: total moment 0.000 μB/f.u.. Number 8: total moment 0.000 μB/f.u..